1.
! BaMnBeTc2 (PBE, relaxed); values from VASP
! theoretical density = 7.50 g/cm3
! ΔH_f (0 K) = 1.200 eV per atom
&SYSTEM
  ibrav = 0, nat = 5, ntyp = 4
/
ATOMIC_SPECIES
Ba 137.33 Ba.upf
Mn 54.94 Mn.upf
Be 9.01 Be.upf
Tc 98.00 Tc.upf
ATOMIC_POSITIONS crystal
Ba 0.000 0.000 0.000
Mn 0.500 0.500 0.000
Be 0.500 0.500 0.500
Tc 0.000 0.500 0.500
Tc 0.500 0.000 0.500
CELL_PARAMETERS angstrom
4.508 0.000 0.000
0.000 4.508 0.000
0.000 0.000 4.329


2.
! BaMn2BeTl (PBE, relaxed); values from VASP
! theoretical density = 4.31 g/cm3
! ΔH_f (0 K) = 1.263 eV per atom
&SYSTEM
  ibrav = 0, nat = 5, ntyp = 4
/
ATOMIC_SPECIES
Ba 137.33 Ba.upf
Mn 54.94 Mn.upf
Be 9.01 Be.upf
Tl 204.38 Tl.upf
ATOMIC_POSITIONS crystal
Ba 0.000 0.000 0.000
Mn 0.000 0.500 0.500
Mn 0.500 0.000 0.500
Be 0.500 0.500 0.000
Tl 0.000 0.000 0.500
CELL_PARAMETERS angstrom
5.189 0.000 0.000
0.000 5.189 0.000
0.000 0.000 6.586


3.
! BaBeMo2 (PBE, relaxed); values from VASP
! theoretical density = 7.38 g/cm3
! ΔH_f (0 K) = 1.284 eV per atom
&SYSTEM
  ibrav = 0, nat = 4, ntyp = 3
/
ATOMIC_SPECIES
Ba 137.33 Ba.upf
Be 9.01 Be.upf
Mo 95.94 Mo.upf
ATOMIC_POSITIONS crystal
Ba 0.000 0.000 0.000
Be 0.500 0.500 0.000
Mo 0.000 0.500 0.500
Mo 0.500 0.000 0.500
CELL_PARAMETERS angstrom
2.761 -5.018 0.000
2.761 5.018 0.000
-1.789 0.000 2.746


4.
! BaBeMo2 (PBE, relaxed); values from VASP
! theoretical density = 7.45 g/cm3
! ΔH_f (0 K) = 0.859 eV per atom
&SYSTEM
  ibrav = 0, nat = 4, ntyp = 3
/
ATOMIC_SPECIES
Ba 137.33 Ba.upf
Be 9.01 Be.upf
Mo 95.94 Mo.upf
ATOMIC_POSITIONS crystal
Ba 0.000 0.000 0.000
Be 0.000 0.000 0.500
Mo 0.500 0.500 0.336
Mo 0.500 0.500 0.664
CELL_PARAMETERS angstrom
2.897 0.000 0.000
0.000 2.897 0.000
0.000 0.000 8.983


5.
! BaBeMo4 (PBE, relaxed); values from VASP
! theoretical density = 7.63 g/cm3
! ΔH_f (0 K) = 1.061 eV per atom
&SYSTEM
  ibrav = 0, nat = 6, ntyp = 3
/
ATOMIC_SPECIES
Ba 137.33 Ba.upf
Be 9.01 Be.upf
Mo 95.94 Mo.upf
ATOMIC_POSITIONS crystal
Ba 0.000 0.000 0.000
Be 0.750 0.750 0.750
Mo 0.375 0.375 0.375
Mo 0.375 0.375 0.875
Mo 0.375 0.875 0.375
Mo 0.875 0.375 0.375
CELL_PARAMETERS angstrom
0.000 3.864 3.864
3.864 0.000 3.864
3.864 3.864 0.000


6.
! BaBeMo2 (PBE, relaxed); values from VASP
! theoretical density = 5.96 g/cm3
! ΔH_f (0 K) = 0.796 eV per atom
&SYSTEM
  ibrav = 0, nat = 4, ntyp = 3
/
ATOMIC_SPECIES
Ba 137.33 Ba.upf
Be 9.01 Be.upf
Mo 95.94 Mo.upf
ATOMIC_POSITIONS crystal
Ba 0.000 0.000 0.000
Be 0.500 0.000 0.500
Mo 0.305 0.500 0.628
Mo 0.695 0.500 0.372
CELL_PARAMETERS angstrom
3.465 0.000 0.000
0.000 4.228 0.000
-1.524 0.000 6.436


7.
! BaBeMo2 (PBE, relaxed); values from VASP
! theoretical density = 6.39 g/cm3
! ΔH_f (0 K) = 0.649 eV per atom
&SYSTEM
  ibrav = 0, nat = 4, ntyp = 3
/
ATOMIC_SPECIES
Ba 137.33 Ba.upf
Be 9.01 Be.upf
Mo 95.94 Mo.upf
ATOMIC_POSITIONS crystal
Ba 0.000 0.000 0.000
Be 0.264 0.264 0.636
Mo 0.546 0.546 0.530
Mo 0.806 0.806 0.378
CELL_PARAMETERS angstrom
4.107 -1.633 0.000
4.107 1.633 0.000
-1.120 0.000 6.551


8.
! BaBeMo2 (PBE, relaxed); values from VASP
! theoretical density = 7.36 g/cm3
! ΔH_f (0 K) = 1.013 eV per atom
&SYSTEM
  ibrav = 0, nat = 4, ntyp = 3
/
ATOMIC_SPECIES
Ba 137.33 Ba.upf
Be 9.01 Be.upf
Mo 95.94 Mo.upf
ATOMIC_POSITIONS crystal
Ba 0.000 0.000 0.000
Be 0.500 0.500 0.000
Mo 0.301 0.801 0.500
Mo 0.699 0.199 0.500
CELL_PARAMETERS angstrom
-1.406 2.496 5.436
1.406 -2.496 5.436
1.406 2.496 -5.436


9.
! BaBeMo2 (PBE, relaxed); values from VASP
! theoretical density = 7.21 g/cm3
! ΔH_f (0 K) = 1.235 eV per atom
&SYSTEM
  ibrav = 0, nat = 4, ntyp = 3
/
ATOMIC_SPECIES
Ba 137.33 Ba.upf
Be 9.01 Be.upf
Mo 95.94 Mo.upf
ATOMIC_POSITIONS crystal
Ba 0.000 0.000 0.000
Be 0.750 0.750 0.750
Mo 0.250 0.250 0.250
Mo 0.500 0.500 0.500
CELL_PARAMETERS angstrom
0.000 3.390 3.390
3.390 0.000 3.390
3.390 3.390 0.000


10.
! BaBeMo2 (PBE, relaxed); values from VASP
! theoretical density = 5.57 g/cm3
! ΔH_f (0 K) = 1.185 eV per atom
&SYSTEM
  ibrav = 0, nat = 8, ntyp = 3
/
ATOMIC_SPECIES
Ba 137.33 Ba.upf
Be 9.01 Be.upf
Mo 95.94 Mo.upf
ATOMIC_POSITIONS crystal
Ba 0.000 0.000 0.000
Ba 0.750 0.250 0.500
Be 0.250 0.750 0.500
Be 0.500 0.500 0.000
Mo 0.353 0.625 0.228
Mo 0.375 0.603 0.728
Mo 0.397 0.125 0.772
Mo 0.875 0.647 0.272
CELL_PARAMETERS angstrom
-2.361 2.361 9.046
2.361 -2.361 9.046
2.361 2.361 -9.046


11.
! Ba3BeMo (PBE, relaxed); values from VASP
! theoretical density = 4.16 g/cm3
! relative energy among the computed polymorphs = 0.0000 eV per atom
! ΔH_f (0 K) = 1.101 eV per atom
&SYSTEM
  ibrav = 0, nat = 5, ntyp = 3
/
ATOMIC_SPECIES
Ba 137.33 Ba.upf
Be 9.01 Be.upf
Mo 95.94 Mo.upf
ATOMIC_POSITIONS crystal
Ba 0.000 0.000 0.500
Ba 0.000 0.500 0.000
Ba 0.500 0.000 0.000
Be 0.500 0.500 0.500
Mo 0.000 0.000 0.000
CELL_PARAMETERS angstrom
5.910 0.000 0.000
0.000 5.910 0.000
0.000 0.000 5.910


12.
! BaBeMo2 (PBE, relaxed); values from VASP
! theoretical density = 7.44 g/cm3
! ΔH_f (0 K) = 1.322 eV per atom
&SYSTEM
  ibrav = 0, nat = 4, ntyp = 3
/
ATOMIC_SPECIES
Ba 137.33 Ba.upf
Be 9.01 Be.upf
Mo 95.94 Mo.upf
ATOMIC_POSITIONS crystal
Ba 0.000 0.000 0.000
Be 0.500 0.500 0.000
Mo 0.000 0.500 0.500
Mo 0.500 0.000 0.500
CELL_PARAMETERS angstrom
3.151 0.000 0.000
0.000 4.873 0.000
0.000 0.000 4.913


13.
! BaBeMo2 (PBE, relaxed); values from VASP
! theoretical density = 6.21 g/cm3
! ΔH_f (0 K) = 1.157 eV per atom
&SYSTEM
  ibrav = 0, nat = 4, ntyp = 3
/
ATOMIC_SPECIES
Ba 137.33 Ba.upf
Be 9.01 Be.upf
Mo 95.94 Mo.upf
ATOMIC_POSITIONS crystal
Ba 0.000 0.000 0.000
Be 0.696 0.196 0.500
Mo 0.309 0.809 0.500
Mo 0.492 0.492 0.000
CELL_PARAMETERS angstrom
-1.638 2.914 4.737
1.638 -2.914 4.737
1.638 2.914 -4.737


14.
! BaBeMo2 (PBE, relaxed); values from VASP
! theoretical density = 6.00 g/cm3
! ΔH_f (0 K) = 0.612 eV per atom
&SYSTEM
  ibrav = 0, nat = 4, ntyp = 3
/
ATOMIC_SPECIES
Ba 137.33 Ba.upf
Be 9.01 Be.upf
Mo 95.94 Mo.upf
ATOMIC_POSITIONS crystal
Ba 0.000 0.000 0.000
Be 0.500 0.500 0.500
Mo 0.197 0.197 0.590
Mo 0.803 0.803 0.410
CELL_PARAMETERS angstrom
3.601 -1.976 0.000
3.601 1.976 0.000
-2.006 0.000 6.574


15.
! BaBeMo2 (PBE, relaxed); values from VASP
! theoretical density = 7.25 g/cm3
! ΔH_f (0 K) = 0.856 eV per atom
&SYSTEM
  ibrav = 0, nat = 4, ntyp = 3
/
ATOMIC_SPECIES
Ba 137.33 Ba.upf
Be 9.01 Be.upf
Mo 95.94 Mo.upf
ATOMIC_POSITIONS crystal
Ba 0.000 0.000 0.000
Be 0.500 0.500 0.711
Mo 0.000 0.000 0.534
Mo 0.500 0.500 0.323
CELL_PARAMETERS angstrom
1.749 -2.420 0.000
1.749 2.420 0.000
0.000 0.000 9.148


16.
! BaBeMo2 (PBE, relaxed); values from VASP
! theoretical density = 6.85 g/cm3
! ΔH_f (0 K) = 0.649 eV per atom
&SYSTEM
  ibrav = 0, nat = 4, ntyp = 3
/
ATOMIC_SPECIES
Ba 137.33 Ba.upf
Be 9.01 Be.upf
Mo 95.94 Mo.upf
ATOMIC_POSITIONS crystal
Ba 0.000 0.000 0.000
Be 0.000 0.000 0.500
Mo 0.500 0.500 0.354
Mo 0.500 0.500 0.646
CELL_PARAMETERS angstrom
3.320 0.000 0.000
0.000 3.320 0.000
0.000 0.000 7.437


17.
! BaBeMo2 (PBE, relaxed); values from VASP
! theoretical density = 7.12 g/cm3
! ΔH_f (0 K) = 1.462 eV per atom
&SYSTEM
  ibrav = 0, nat = 4, ntyp = 3
/
ATOMIC_SPECIES
Ba 137.33 Ba.upf
Be 9.01 Be.upf
Mo 95.94 Mo.upf
ATOMIC_POSITIONS crystal
Ba 0.000 0.000 0.000
Be 0.500 0.500 0.000
Mo 0.000 0.500 0.500
Mo 0.500 0.000 0.500
CELL_PARAMETERS angstrom
4.014 0.000 0.000
0.000 4.014 0.000
0.000 0.000 4.894


18.
! BaBeMo2 (PBE, relaxed); values from VASP
! theoretical density = 7.32 g/cm3
! ΔH_f (0 K) = 1.447 eV per atom
&SYSTEM
  ibrav = 0, nat = 4, ntyp = 3
/
ATOMIC_SPECIES
Ba 137.33 Ba.upf
Be 9.01 Be.upf
Mo 95.94 Mo.upf
ATOMIC_POSITIONS crystal
Ba 0.000 0.000 0.000
Be 0.500 0.500 0.000
Mo 0.250 0.750 0.500
Mo 0.750 0.250 0.500
CELL_PARAMETERS angstrom
-2.039 2.039 4.615
2.039 -2.039 4.615
2.039 2.039 -4.615


19.
! BaBeMo2 (PBE, relaxed); values from VASP
! theoretical density = 6.90 g/cm3
! ΔH_f (0 K) = 0.524 eV per atom
&SYSTEM
  ibrav = 0, nat = 4, ntyp = 3
/
ATOMIC_SPECIES
Ba 137.33 Ba.upf
Be 9.01 Be.upf
Mo 95.94 Mo.upf
ATOMIC_POSITIONS crystal
Ba 0.000 0.000 0.000
Be 0.502 0.500 0.334
Mo 0.006 0.000 0.478
Mo 0.489 0.500 0.649
CELL_PARAMETERS angstrom
3.265 0.000 0.000
0.000 3.273 0.000
-0.136 0.000 7.613


20.
! BaBeMo2 (PBE, relaxed); values from VASP
! theoretical density = 7.76 g/cm3
! ΔH_f (0 K) = 1.524 eV per atom
&SYSTEM
  ibrav = 0, nat = 4, ntyp = 3
/
ATOMIC_SPECIES
Ba 137.33 Ba.upf
Be 9.01 Be.upf
Mo 95.94 Mo.upf
ATOMIC_POSITIONS crystal
Ba 0.000 0.000 0.000
Be 0.500 0.500 0.000
Mo 0.000 0.500 0.500
Mo 0.500 0.000 0.500
CELL_PARAMETERS angstrom
4.501 0.000 0.000
0.000 4.501 0.000
0.000 0.000 3.574